(1)
Entry from the Alexandria database: an optimized crystal structure of Ni4Rh (PBE).

It has space group P4/mcc (No. 124), with a = 5.199 Å, b = 5.199 Å, c = 4.690 Å, α = 90.00°, β = 90.00° and γ = 90.00°. The distinct sites, in fractional coordinates, are Ni at (0.118, 0.300, 0.000) and Rh at (0.500, 0.500, 0.250).

For the formation energy, the calculation gives 2.0 eV/f.u. The calculated volume is 12.7 A^3/atom. The density of states at the Fermi level comes out at 2.05 states/eV/atom.

(2)
Entry from the Alexandria database: an optimized crystal structure of ZnCoCl2 (PBE).

It has space group R-3m (No. 166, hexagonal axes), with a = 3.5344 Å, b = 3.5344 Å, c = 22.1285 Å, α = 90.00°, β = 90.00° and γ = 120.00°. The distinct sites, in fractional coordinates, are Zn at (0.0000, 0.0000, 0.0000), Co at (0.0000, 0.0000, 0.5000) and Cl at (0.0000, 0.0000, 0.4029).

The calculated volume is 19.9 A^3/atom. The density of states at the Fermi level comes out at 0.45 states/eV/atom. The raw formation energy is 0.02 eV per atom.